(1)
Below is a relaxed Ca2AlGa2Pt5 crystal, with properties calculated at the PBE-GGA level.

a b c (Å): 3.649 9.843 9.843
angles (deg): 90.00 90.00 90.00
Element x y z (fractional)
Pt1 0.500 0.198 0.062
Pt2 0.500 0.698 0.438
Pt3 0.500 0.802 0.938
Pt4 0.500 0.438 0.302
Pt5 0.500 0.062 0.802
Pt6 0.500 0.500 0.000
Pt7 0.500 0.302 0.562
Pt8 0.500 0.000 0.500
Pt9 0.500 0.562 0.698
Pt10 0.500 0.938 0.198
Ga1 0.000 0.126 0.626
Ga2 0.000 0.874 0.374
Ga3 0.000 0.626 0.874
Ga4 0.000 0.374 0.126
Ca1 0.000 0.326 0.826
Ca2 0.000 0.674 0.174
Ca3 0.000 0.174 0.326
Ca4 0.000 0.826 0.674
Al1 0.000 0.500 0.500
Al2 0.000 0.000 0.000

Calculated formation energy, meV per atom: -840
SG: P4/mbm

=====

(2)
Below is a relaxed Tb4Y5Er4 crystal, with properties calculated at the PBE-GGA level.

a b c (Å): 5.009 9.391 9.391
angles (deg): 85.92 74.53 74.53
Element x y z (fractional)
Y1 0.307 0.154 0.231
Y2 0.693 0.846 0.769
Y3 0.538 0.769 0.154
Y4 0.462 0.231 0.846
Y5 0.000 0.000 0.000
Tb1 0.616 0.308 0.461
Tb2 0.076 0.539 0.308
Tb3 0.924 0.461 0.692
Tb4 0.384 0.692 0.539
Er1 0.845 0.923 0.386
Er2 0.155 0.077 0.614
Er3 0.231 0.614 0.923
Er4 0.769 0.386 0.077

Calculated formation energy, meV per atom: 21
SG: I4/m

=====

(3)
Below is a relaxed Hf2ScAlIn crystal, with properties calculated at the PBE-GGA level.

a b c (Å): 5.042 4.958 5.042
angles (deg): 90.00 90.00 90.00
Last column: magnetic moment on the atom in μB.
Element x y z (fractional)
Sc1 0.500 0.500 0.500  0.48
Al1 0.000 0.000 0.000  0.03
Hf1 0.500 0.000 0.000  0.33
Hf2 0.000 0.000 0.500  0.36
In1 0.000 0.500 0.000  -0.02

Calculated formation energy, meV per atom: 644
SG: P4/mmm

=====

(4)
Below is a relaxed TaRu2Pb2 crystal, with properties calculated at the PBE-GGA level.

a b c (Å): 4.008 4.008 7.102
angles (deg): 73.61 73.61 90.00
Element x y z (fractional)
Pb1 0.250 0.750 0.500
Pb2 0.750 0.250 0.500
Ru1 0.409 0.409 0.182
Ru2 0.591 0.591 0.818
Ta1 0.000 0.000 0.000

Calculated formation energy, meV per atom: 959
SG: I4/mmm
Polymorph energy (0 for the lowest one), kJ per mole of atoms: 50.43

=====

(5)
Below is a relaxed Zr2Sc crystal, with properties calculated at the PBE-GGA level.

a b c (Å): 8.302 5.637 9.734
angles (deg): 90.00 141.77 90.00
Element x y z (fractional)
Sc1 0.250 0.912 0.750
Sc2 0.750 0.088 0.250
Sc3 0.750 0.588 0.750
Sc4 0.250 0.412 0.250
Zr1 0.255 0.420 0.590
Zr2 0.745 0.580 0.410
Zr3 0.245 0.920 0.410
Zr4 0.255 0.920 0.090
Zr5 0.745 0.080 0.910
Zr6 0.755 0.580 0.090
Zr7 0.755 0.080 0.590
Zr8 0.245 0.420 0.910

Calculated formation energy, meV per atom: -27
SG: C2/c

=====

(6)
Below is a relaxed CePr2PaAs4 crystal, with properties calculated at the PBE-GGA level.

a b c (Å): 4.223 7.315 7.324
angles (deg): 109.41 90.00 90.00
Last column: magnetic moment on the atom in μB.
Element x y z (fractional)
As1 0.000 0.248 0.762  -0.01
As2 0.500 0.760 0.765  -0.01
As3 0.000 0.752 0.238  -0.01
As4 0.500 0.240 0.235  -0.01
Pr1 0.000 0.500 0.500  0.01
Pr2 0.500 0.000 0.500  0.01
Ce1 0.500 0.500 0.000  0.58
Pa1 0.000 0.000 0.000  0.12

Calculated formation energy, meV per atom: -1376
SG: P2/m